The following is a DFT calculation (meta-GGA SCAN) of a PBEsol-optimized structure of AlTlSiO4.

abc: 8.9992 8.9992 8.9992
angles: 90.36 90.36 90.36
Last column: nearest neighbours and their distance in Å.
Sites, in units of the cell vectors:
1 Al 0.0016 0.2452 0.7532  4 O 1.73-1.76
2 Al 0.2452 0.7532 0.0016  4 O 1.73-1.76
3 Al 0.2532 0.7452 0.5016  4 O 1.73-1.76
4 Al 0.5016 0.2532 0.7452  4 O 1.73-1.76
5 Al 0.7452 0.5016 0.2532  4 O 1.73-1.76
6 Al 0.7532 0.0016 0.2452  4 O 1.73-1.76
7 Tl 0.0977 0.3997 0.1025  3 O 2.60-2.63
8 Tl 0.1025 0.0977 0.3997  3 O 2.60-2.63
9 Tl 0.3997 0.1025 0.0977  3 O 2.60-2.63
10 Tl 0.5977 0.6025 0.8997  3 O 2.60-2.63
11 Tl 0.6025 0.8997 0.5977  3 O 2.60-2.63
12 Tl 0.8997 0.5977 0.6025  3 O 2.60-2.63
13 Si 0.2513 0.4994 0.7519  4 O 1.61-1.64
14 Si 0.2519 0.9994 0.7513  4 O 1.61-1.64
15 Si 0.4994 0.7519 0.2513  4 O 1.61-1.64
16 Si 0.7513 0.2519 0.9994  4 O 1.61-1.64
17 Si 0.7519 0.2513 0.4994  4 O 1.61-1.64
18 Si 0.9994 0.7513 0.2519  4 O 1.61-1.64
19 O 0.1013 0.6886 0.1154  1 Si 1.64, 1 Al 1.75
20 O 0.1014 0.8057 0.3945  1 Si 1.64, 1 Al 1.76
21 O 0.1112 0.3985 0.8104  1 Si 1.64, 1 Al 1.76
22 O 0.1154 0.1013 0.6886  1 Si 1.64, 1 Al 1.75
23 O 0.1886 0.6013 0.6154  1 Si 1.64, 1 Al 1.75
24 O 0.1986 0.9037 0.8925  1 Si 1.61, 1 Al 1.73
25 O 0.3057 0.6014 0.8945  1 Si 1.64, 1 Al 1.76
26 O 0.3104 0.8985 0.6112  1 Si 1.64, 1 Al 1.76
27 O 0.3925 0.4037 0.6986  1 Si 1.61, 1 Al 1.73
28 O 0.3945 0.1014 0.8057  1 Si 1.64, 1 Al 1.76
29 O 0.3985 0.8104 0.1112  1 Si 1.64, 1 Al 1.76
30 O 0.4037 0.6986 0.3925  1 Si 1.61, 1 Al 1.73
31 O 0.6013 0.6154 0.1886  1 Si 1.64, 1 Al 1.75
32 O 0.6014 0.8945 0.3057  1 Si 1.64, 1 Al 1.76
33 O 0.6112 0.3104 0.8985  1 Si 1.64, 1 Al 1.76
34 O 0.6154 0.1886 0.6013  1 Si 1.64, 1 Al 1.75
35 O 0.6886 0.1154 0.1013  1 Si 1.64, 1 Al 1.75
36 O 0.6986 0.3925 0.4037  1 Si 1.61, 1 Al 1.73
37 O 0.8057 0.3945 0.1014  1 Si 1.64, 1 Al 1.76
38 O 0.8104 0.1112 0.3985  1 Si 1.64, 1 Al 1.76
39 O 0.8925 0.1986 0.9037  1 Si 1.61, 1 Al 1.73
40 O 0.8945 0.3057 0.6014  1 Si 1.64, 1 Al 1.76
41 O 0.8985 0.6112 0.3104  1 Si 1.64, 1 Al 1.76
42 O 0.9037 0.8925 0.1986  1 Si 1.61, 1 Al 1.73

Results
Magnetization = 0.0000 μB/atom
Formation energy from raw total energies = -2721 meV per atom
DFT total energy = -19.157 eV per atom